A relaxed structure of CdReP2. Source: Alexandria, functional PBE.

- Calculated formation energy: 0.52 eV/atom
- Spin magnetization: 0.0 μB per cell
- D(E_F): 0.599 states/eV/atom
- Electronic total energy: -22.10 eV per cell

```
CdReP2
1.0
1.521 -2.439 0.000
1.521 2.439 0.000
0.000 0.000 9.887
Cd Re P
1 1 2
Cartesian
0.000 0.000 0.000 Cd
1.521 0.000 2.528 Re
0.000 0.000 4.262 P
1.521 0.000 7.551 P
```